Material: MnTeSO2
Method: DFT, PBE+U
State: optimized geometry

The structure in POSCAR format:
```
MnTeSO2
1.0
-1.4638 3.2880 -1.8386
1.9361 -1.8097 -4.7776
-3.4843 -1.9316 -0.6803
S Te O Mn
1 1 2 1
direct
0.0000 0.5000 0.0000 S
0.0000 0.0000 0.0000 Te
0.0000 0.0000 0.5000 O
0.5000 0.0000 0.0000 O
0.5000 0.5000 0.5000 Mn
```

Values from the calculation:
- space-group type = P4/mmm, No. 123
- total DFT energy (no corrections) (eV/atom) = -5.39